No. 1
Here is crystalline Tm2HfMgN4 at its relaxed geometry from Alexandria. Energies are from PBE-GGA.

abc: 5.6815 3.3048 5.6915
angles: 90.00 109.25 90.00
With the nearest neighbours (Å) after each atom.
Space group P2/m (No. 10)
Asymmetric unit:
Tm: 0.0000 0.0000 0.0000 x1  6 N 2.39-2.40
Tm: 0.0000 0.5000 0.5000 x1  6 N 2.33-2.34
Hf: 0.5000 0.0000 0.5000 x1  6 N 2.24-2.27
Mg: 0.5000 0.5000 0.0000 x1  6 N 2.31-2.33
N: 0.2591 0.0000 0.7415 x2  1 Hf 2.24, 2 Mg 2.33, 3 Tm 2.34-2.40
N: 0.2638 0.5000 0.2620 x2  2 Hf 2.27, 1 Mg 2.31, 3 Tm 2.33-2.39

Summary:
Crystal system: monoclinic
Size of the total moment in Bohr magnetons per cell: 0.000
Electronic total energy in eV per atom: -8.316
D(E_F) in states/eV per atom: 0.057

***

No. 2
Here is crystalline AcNd3Y4 at its relaxed geometry from Alexandria. Energies are from PBE-GGA.

abc: 3.5174 11.8892 13.4189
angles: 90.00 90.00 90.00
With the nearest neighbours (Å) after each atom.
Space group Immm (No. 71)
Asymmetric unit:
Ac: 0.0000 0.0000 0.0000 x2  2 Ac 3.52, 4 Y 3.53, 4 Nd 3.70
Nd: 0.0000 0.0000 0.5000 x2  6 Nd 3.52-3.87, 8 Y 3.87
Nd: 0.0000 0.5000 0.2570 x4  2 Y 3.35, 2 Nd 3.52, 2 Ac 3.70
Y: 0.0000 0.2541 0.1357 x8  1 Nd 3.35, 5 Y 3.52-3.64, 1 Ac 3.53

Summary:
Crystal system: orthorhombic
E_form in eV per atom: 0.148
Size of the total moment in Bohr magnetons per cell: 0.000
Electronic total energy in eV per atom: -5.386
Offset from the most stable computed form in meV per atom: 113
D(E_F) in states/eV per atom: 1.716

***

No. 3
Here is crystalline Sr2BiHPd at its relaxed geometry from Alexandria. Energies are from PBE-GGA.

abc: 5.6179 5.6179 3.9127
angles: 90.00 90.00 90.00
With the nearest neighbours (Å) after each atom.
Space group P4/mmm (No. 123)
Asymmetric unit:
Sr: 0.0000 0.5000 0.0000 x2  2 H 2.81
Bi: 0.0000 0.0000 0.5000 x1  8 Sr 3.42
H: 0.5000 0.5000 0.0000 x1  2 Pd 1.96
Pd: 0.5000 0.5000 0.5000 x1  2 H 1.96

Summary:
Crystal system: tetragonal
Size of the total moment in Bohr magnetons per cell: 0.000
Electronic total energy in eV per atom: -3.802
D(E_F) in states/eV per atom: 0.223

***

No. 4
Here is crystalline Be2SiRu at its relaxed geometry from Alexandria. Energies are from PBE-GGA.

abc: 2.7450 3.6853 4.4000
angles: 90.00 90.00 90.00
With the nearest neighbours (Å) after each atom.
Space group Pmmm (No. 47)
Asymmetric unit:
Be: 0.0000 0.0000 0.2292 x2  1 Be 2.02, 2 Si 2.19
Si: 0.0000 0.5000 0.5000 x1  4 Be 2.19
Ru: 0.5000 0.5000 0.0000 x1  8 Be 2.51, 4 Si 2.59, 2 Ru 2.75

Summary:
Crystal system: orthorhombic
Size of the total moment in Bohr magnetons per cell: 0.000
Electronic total energy in eV per atom: -5.720
D(E_F) in states/eV per atom: 0.326

***

No. 5
Here is crystalline Zr3Be2Co3 at its relaxed geometry from Alexandria. Energies are from PBE-GGA.

abc: 3.2647 9.8802 14.2203
angles: 90.00 90.00 90.00
With the nearest neighbours (Å) after each atom.
Space group Cmcm (No. 63)
Asymmetric unit:
Zr: 0.0000 0.0392 0.2500 x4  2 Be 2.70, 7 Co 2.70-2.89, 2 Zr 3.02
Zr: 0.0000 0.1440 0.0504 x8  4 Co 2.62-2.78, 3 Be 2.69-2.86
Be: 0.0000 0.1910 0.6479 x8  4 Co 2.19-2.26
Co: 0.0000 0.3128 0.2500 x4  4 Be 2.19
Co: 0.0000 0.4468 0.0948 x8  2 Be 2.26

Summary:
Crystal system: orthorhombic
E_form in eV per atom: -0.182
Size of the total moment in Bohr magnetons per cell: 0.000
Electronic total energy in eV per atom: -6.984
D(E_F) in states/eV per atom: 0.713

***

No. 6
Here is crystalline NaS2Cl at its relaxed geometry from Alexandria. Energies are from PBE-GGA.

abc: 5.7667 5.7667 13.6801
angles: 90.00 90.00 90.00
With the nearest neighbours (Å) after each atom.
Space group I-42d (No. 122)
Asymmetric unit:
Na: 0.0000 0.0000 0.0000 x4  4 S 3.02
S: 0.1491 0.2500 0.6250 x8  2 Cl 2.40
Cl: 0.0000 0.0000 0.5000 x4  4 S 2.40

Summary:
Crystal system: tetragonal
Size of the total moment in Bohr magnetons per cell: 0.000
Electronic total energy in eV per atom: -2.591
Offset from the most stable computed form in meV per atom: 1027
D(E_F) in states/eV per atom: 0.369

***

No. 7
Here is crystalline KAlS2 at its relaxed geometry from Alexandria. Energies are from PBE-GGA.

abc: 6.9040 5.1708 10.4690
angles: 90.00 90.00 90.00
With the nearest neighbours (Å) after each atom.
Space group Pnma (No. 62)
Asymmetric unit:
K: 0.1031 0.2500 0.1253 x4  5 S 3.12-3.31
Al: 0.0427 0.7500 0.3736 x4  3 S 2.25-2.31
S: 0.0579 0.2500 0.4217 x4  1 Al 2.25
S: 0.1364 0.2500 0.8098 x4  2 Al 2.28-2.31

Summary:
Crystal system: orthorhombic
Size of the total moment in Bohr magnetons per cell: 0.000
Electronic total energy in eV per atom: -4.409
D(E_F) in states/eV per atom: 0.000

***

No. 8
Here is crystalline SrCu4P at its relaxed geometry from Alexandria. Energies are from PBE-GGA.

abc: 7.2866 7.2866 7.2866
angles: 90.00 90.00 90.00
With the nearest neighbours (Å) after each atom.
Space group F-43m (No. 216)
Asymmetric unit:
Sr: 0.0000 0.0000 0.0000 x4  12 Cu 3.02, 4 P 3.16
Cu: 0.1244 0.1244 0.6244 x16  6 Cu 2.56-2.59
P: 0.2500 0.2500 0.2500 x4  12 Cu 3.02, 4 Sr 3.16

Summary:
Crystal system: cubic
E_form in eV per atom: 0.012
Size of the total moment in Bohr magnetons per cell: 0.000
Electronic total energy in eV per atom: -3.901
D(E_F) in states/eV per atom: 0.191

***

No. 9
Here is crystalline AcIn3Pd3 at its relaxed geometry from Alexandria. Energies are from PBE-GGA.

abc: 7.2614 7.2614 20.7773
angles: 90.00 90.00 120.00
With the nearest neighbours (Å) after each atom.
Space group R-3 (No. 148, hexagonal axes)
Asymmetric unit:
Ac: 0.0000 0.0000 0.1570 x6  6 Pd 3.06-3.35
In: 0.0411 0.6145 0.3744 x18  4 Pd 2.78-2.92, 2 In 2.99
Pd: 0.0140 0.7768 0.5680 x18  4 In 2.78-2.92, 2 Pd 2.90, 1 Ac 3.06

Summary:
Crystal system: trigonal
E_form in eV per atom: -0.464
Size of the total moment in Bohr magnetons per cell: 0.000
Electronic total energy in eV per atom: -4.450
Offset from the most stable computed form in meV per atom: 97
D(E_F) in states/eV per atom: 0.537

***

No. 10
Here is crystalline Ho2VHg at its relaxed geometry from Alexandria. Energies are from PBE-GGA.

abc: 3.6138 3.6138 7.3801
angles: 90.00 90.00 90.00
With the nearest neighbours (Å) after each atom.
Space group P4/mmm (No. 123)
Asymmetric unit:
Ho: 0.0000 0.0000 0.2330 x2  4 V 3.08, 4 Hg 3.23, 1 Ho 3.44
V: 0.5000 0.5000 0.0000 x1  8 Ho 3.08
Hg: 0.5000 0.5000 0.5000 x1  8 Ho 3.23, 4 Hg 3.61

Summary:
Crystal system: tetragonal
E_form in eV per atom: -0.069
Size of the total moment in Bohr magnetons per cell: 3.141
Electronic total energy in eV per atom: -4.713
Offset from the most stable computed form in meV per atom: 0
D(E_F) in states/eV per atom: 0.711

***

No. 11
Here is crystalline TiBeTc3 at its relaxed geometry from Alexandria. Energies are from PBE-GGA.

abc: 4.1606 4.1606 4.1606
angles: 90.00 90.00 90.00
With the nearest neighbours (Å) after each atom.
Space group Pm-3m (No. 221)
Asymmetric unit:
Ti: 0.0000 0.0000 0.0000 x1  12 Tc 2.94
Be: 0.5000 0.5000 0.5000 x1  6 Tc 2.08
Tc: 0.0000 0.5000 0.5000 x3  2 Be 2.08

Summary:
Crystal system: cubic
E_form in eV per atom: 0.387
Size of the total moment in Bohr magnetons per cell: 0.000
Electronic total energy in eV per atom: -8.157
Offset from the most stable computed form in meV per atom: 0
D(E_F) in states/eV per atom: 1.653

***

No. 12
Here is crystalline NpCd2Pb at its relaxed geometry from Alexandria. Energies are from PBE-GGA.

abc: 4.5637 4.5637 4.9566
angles: 90.00 90.00 90.00
With the nearest neighbours (Å) after each atom.
Space group P4/mmm (No. 123)
Asymmetric unit:
Np: 0.0000 0.0000 0.0000 x1  4 Pb 3.23, 8 Cd 3.37
Cd: 0.0000 0.5000 0.5000 x2  4 Cd 3.23, 4 Pb 3.37, 4 Np 3.37
Pb: 0.5000 0.5000 0.0000 x1  4 Np 3.23, 8 Cd 3.37

Summary:
Crystal system: tetragonal
E_form in eV per atom: 0.150
Size of the total moment in Bohr magnetons per cell: 4.443
Electronic total energy in eV per atom: -4.470
D(E_F) in states/eV per atom: 2.916

***

No. 13
Here is crystalline Pr2HoZn6 at its relaxed geometry from Alexandria. Energies are from PBE-GGA.

abc: 7.8994 7.8994 3.5881
angles: 90.00 90.00 120.00
With the nearest neighbours (Å) after each atom.
Space group P6/mmm (No. 191)
Asymmetric unit:
Pr: 0.3333 0.6667 0.0000 x2  12 Zn 3.20
Ho: 0.0000 0.0000 0.0000 x1  12 Zn 3.15
Zn: 0.0000 0.3281 0.5000 x6  3 Zn 2.59-2.72

Summary:
Crystal system: hexagonal
E_form in eV per atom: -0.346
Size of the total moment in Bohr magnetons per cell: 0.000
Electronic total energy in eV per atom: -2.767
D(E_F) in states/eV per atom: 0.843

***

No. 14
Here is crystalline Mg2Sc5TlIr2 at its relaxed geometry from Alexandria. Energies are from PBE-GGA.

abc: 11.1665 11.1665 3.5784
angles: 90.00 90.00 90.00
With the nearest neighbours (Å) after each atom.
Space group P4/mbm (No. 127)
Asymmetric unit:
Mg: 0.1736 0.3264 0.0000 x4  3 Ir 3.15-3.40, 6 Sc 3.27-3.35
Sc: 0.0000 0.5000 0.5000 x2  4 Ir 2.69
Sc: 0.0749 0.7912 0.5000 x8  2 Ir 2.63
Tl: 0.0000 0.0000 0.0000 x2  8 Sc 3.06
Ir: 0.1270 0.6270 0.0000 x4  6 Sc 2.63-2.69

Summary:
Crystal system: tetragonal
E_form in eV per atom: -0.478
Size of the total moment in Bohr magnetons per cell: 0.000
Electronic total energy in eV per atom: -5.971
D(E_F) in states/eV per atom: 1.079

***

No. 15
Here is crystalline Na5Sm3F12 at its relaxed geometry from Alexandria. Energies are from PBE-GGA.

abc: 13.5466 13.5466 13.5466
angles: 90.00 90.00 90.00
With the nearest neighbours (Å) after each atom.
Space group Ia-3d (No. 230)
Asymmetric unit:
Na: 0.0000 0.0000 0.0000 x16  6 F 2.32
Na: 0.0000 0.2500 0.3750 x24  4 F 2.20
Sm: 0.0000 0.2500 0.1250 x24  8 F 2.46-2.47
F: 0.0129 0.0706 0.6558 x96  2 Na 2.20-2.32, 1 Sm 2.46

Summary:
Crystal system: cubic
Size of the total moment in Bohr magnetons per cell: 4.909
Electronic total energy in eV per atom: -5.277
D(E_F) in states/eV per atom: 0.327

***

No. 16
Here is crystalline Na4GeAu at its relaxed geometry from Alexandria. Energies are from PBE-GGA.

abc: 13.7387 13.7387 13.7387
angles: 90.00 90.00 90.00
With the nearest neighbours (Å) after each atom.
Space group F-43m (No. 216)
Asymmetric unit:
Na: 0.0000 0.0000 0.1960 x24  2 Au 3.41, 10 Na 3.42-3.81, 2 Ge 3.52
Na: 0.0525 0.2500 0.7500 x24  2 Au 2.95
Na: 0.1121 0.1121 0.3879 x16  3 Au 2.95, 3 Ge 3.14
Ge: 0.1807 0.1807 0.1807 x16  3 Ge 2.69
Au: 0.1022 0.1022 0.6022 x16  6 Na 2.95

Summary:
Crystal system: cubic
E_form in eV per atom: -0.160
Size of the total moment in Bohr magnetons per cell: 0.000
Electronic total energy in eV per atom: -2.355
D(E_F) in states/eV per atom: 0.246

***

No. 17
Here is crystalline LiDy2Cu at its relaxed geometry from Alexandria. Energies are from PBE-GGA.

abc: 3.4718 3.4718 29.0001
angles: 90.00 90.00 120.00
With the nearest neighbours (Å) after each atom.
Space group R-3m (No. 166, hexagonal axes)
Asymmetric unit:
Li: 0.0000 0.0000 0.0000 x3  6 Dy 3.42, 6 Li 3.47
Dy: 0.0000 0.0000 0.2376 x6  3 Cu 2.87
Cu: 0.0000 0.0000 0.5000 x3  6 Dy 2.87

Summary:
Crystal system: trigonal
E_form in eV per atom: 0.112
Size of the total moment in Bohr magnetons per cell: 0.000
Electronic total energy in eV per atom: -3.692
D(E_F) in states/eV per atom: 0.740

***

No. 18
Here is crystalline CeTh4Pb2 at its relaxed geometry from Alexandria. Energies are from PBE-GGA.

abc: 5.4726 5.4726 16.4519
angles: 90.00 90.00 90.00
With the nearest neighbours (Å) after each atom.
Space group I4/mmm (No. 139)
Asymmetric unit:
Ce: 0.0000 0.0000 0.0000 x2  6 Th 2.74-2.81
Th: 0.0000 0.0000 0.1711 x4  1 Ce 2.81
Th: 0.0000 0.5000 0.0000 x4  2 Ce 2.74
Pb: 0.0000 0.0000 0.3648 x4  5 Th 3.19-3.53

Summary:
Crystal system: tetragonal
E_form in eV per atom: 0.439
Size of the total moment in Bohr magnetons per cell: 0.001
Electronic total energy in eV per atom: -5.709
D(E_F) in states/eV per atom: 1.670